Material: Ac2HgIrPd
Method: DFT, PBE
State: relaxed

Geometry as CIF:
```
data_Ac2HgIrPd
_cell_length_a 8.279
_cell_length_b 4.448
_cell_length_c 8.411
_cell_angle_alpha 90.00
_cell_angle_beta 113.87
_cell_angle_gamma 90.00
_symmetry_space_group_name_H-M 'P 1 21/m 1'
_symmetry_Int_Tables_number 11
loop_
_symmetry_equiv_pos_as_xyz
'x,y,z'
'-x,-y,-z'
'-x,y+1/2,-z'
'x,-y+1/2,z'
loop_
_atom_site_label
_atom_site_type_symbol
_atom_site_fract_x
_atom_site_fract_y
_atom_site_fract_z
Ac1 Ac 0.114 0.250 0.348
Ac2 Ac 0.333 0.750 0.064
Hg1 Hg 0.408 0.750 0.637
Ir1 Ir 0.042 0.250 0.938
Pd1 Pd 0.230 0.250 0.745
```

As for the volume: 28.32 Å³ per atom. For the formation enthalpy at 0 K, the calculation gives -0.581 eV/atom. The calculation puts the electronic total energy at -50.95 eV per cell.

---

Material: BaInTe4
Method: DFT, PBE
State: relaxed

Geometry as CIF:
```
data_BaInTe4
_cell_length_a 9.364
_cell_length_b 9.364
_cell_length_c 9.364
_cell_angle_alpha 90.00
_cell_angle_beta 90.00
_cell_angle_gamma 90.00
_symmetry_space_group_name_H-M 'F -4 3 m'
_symmetry_Int_Tables_number 216
_symmetry_space_group_name_Hall 'F -4 2 3'
loop_
_atom_site_label
_atom_site_type_symbol
_atom_site_fract_x
_atom_site_fract_y
_atom_site_fract_z
Ba1 Ba 0.000 0.000 0.000
In1 In 0.250 0.250 0.750
Te1 Te 0.125 0.125 0.375
```

As for the volume: 34.21 Å³ per atom. The calculation puts the electronic total energy at -76.50 eV per cell. The value obtained for the uncorrected formation energy is -30.5 kJ per mole of atoms.